1.
Compound: MoOs
Source: Alexandria via LeMat-Bulk
Functional: SCAN
Structure: PBEsol geometry

The structure in extended XYZ format:
```
4
Lattice="-1.0733 1.2745 -2.1547 -2.4896 -0.7898 0.7730 -0.7688 6.6443 4.3131" Properties=species:S:1:pos:R:3 pbc="T T T"
Mo -0.6409 1.5382 -0.4925
Mo -1.9093 5.3485 4.1148
Os -1.0111 4.7377 1.5844
Os -1.5391 2.1490 2.0378
```

Properties
Formation energy from the elements = 4.05 kcal/mol of atoms
Crystal system = tetragonal

2.
Compound: BaZr2Mo
Source: Alexandria via LeMat-Bulk
Functional: SCAN
Structure: PBEsol geometry

The structure in extended XYZ format:
```
4
Lattice="3.4858 0.0000 0.0000 0.0000 5.0046 0.0000 0.0000 0.0000 5.0607" Properties=species:S:1:pos:R:3 pbc="T T T"
Ba 1.7429 0.0000 2.5304
Mo 0.0000 2.5023 2.5304
Zr 0.0000 0.0000 0.0000
Zr 1.7429 2.5023 0.0000
```

Properties
Formation energy from the elements = 23.08 kcal/mol of atoms
Crystal system = orthorhombic
E above lowest polymorph = 321 meV per atom

3.
Compound: Zr7Pt10
Source: Alexandria via LeMat-Bulk
Functional: SCAN
Structure: PBEsol geometry

The structure in extended XYZ format:
```
34
Lattice="8.1201 -0.0013 0.0000 -2.4583 7.7390 0.0000 0.0000 0.0000 9.5623" Properties=species:S:1:pos:R:3 pbc="T T T"
Zr 0.8260 5.3359 0.0000
Zr 4.8358 2.4018 0.0000
Zr -0.4533 6.2720 4.7811
Zr 6.1151 1.4657 4.7811
Zr 0.0000 0.0000 0.0000
Zr 2.8309 3.8688 4.7811
Zr 4.0651 0.0063 7.1717
Zr 1.5967 7.7314 2.3906
Zr 6.8858 3.8612 2.3906
Zr -1.2241 3.8764 7.1717
Zr 1.7961 2.4547 7.8088
Zr 3.8656 5.2830 1.7534
Zr 1.0348 1.4142 3.0278
Zr 4.6270 6.3235 6.5345
Pt -0.9148 6.6045 7.5695
Pt 6.5766 1.1332 1.9927
Pt 1.2874 5.0033 2.7884
Pt 1.2825 4.9966 6.7739
Pt 4.3743 2.7343 6.7739
Pt 4.3792 2.7410 2.7884
Pt -0.9099 6.6112 1.9927
Pt 6.5717 1.1265 7.5695
Pt 2.9323 7.2467 9.5607
Pt 2.7295 0.4909 0.0015
Pt 5.5604 4.3598 4.7796
Pt 3.1889 1.1187 4.7827
Pt 0.1014 3.3779 4.7827
Pt 2.4729 6.6189 4.7796
Pt -0.3580 2.7501 0.0015
Pt 6.0198 4.9875 9.5607
Pt 0.6082 0.8312 5.8099
Pt 5.0535 6.9064 3.7523
Pt 2.2227 3.0376 1.0288
Pt 3.4391 4.7001 8.5335
```

Properties
Formation energy from the elements = -30.90 kcal/mol of atoms
Crystal system = orthorhombic

4.
Compound: Ti3TeAs
Source: Alexandria via LeMat-Bulk
Functional: SCAN
Structure: PBEsol geometry

The structure in extended XYZ format:
```
5
Lattice="4.6950 0.0000 0.0000 0.0000 4.6950 0.0000 0.0000 0.0000 4.6950" Properties=species:S:1:pos:R:3 pbc="T T T"
As 0.0000 0.0000 0.0000
Te 2.3475 2.3475 2.3475
Ti 0.0000 2.3475 0.0000
Ti 0.0000 0.0000 2.3475
Ti 2.3475 0.0000 0.0000
```

Properties
Crystal system = cubic
Formation energy from raw total energies = -0.36 eV/f.u.

5.
Compound: Be4ZnOs
Source: Alexandria via LeMat-Bulk
Functional: SCAN
Structure: PBEsol geometry

The structure in extended XYZ format:
```
6
Lattice="4.3153 0.0000 0.0000 2.1576 3.7372 0.0000 2.1576 1.2457 3.5234" Properties=species:S:1:pos:R:3 pbc="T T T"
Be 4.3153 2.4914 0.4610
Be 3.2533 3.1046 2.1953
Be 4.3153 1.2651 2.1953
Be 5.3773 3.1046 2.1953
Zn 0.0000 0.0000 0.0000
Os 2.1576 1.2457 0.8809
```

Properties
Formation energy from the elements = -4.59 kcal/mol of atoms
Crystal system = cubic

6.
Compound: WCl2
Source: Alexandria via LeMat-Bulk
Functional: SCAN
Structure: PBEsol geometry

The structure in extended XYZ format:
```
36
Lattice="9.1985 -0.1042 0.0000 -2.1553 8.9430 0.0000 0.0000 0.0000 11.2991" Properties=species:S:1:pos:R:3 pbc="T T T"
W -0.7090 7.7905 0.0000
W 7.7522 1.0483 0.0000
W 2.0753 5.5719 5.6496
W 4.9679 3.2669 5.6496
W 3.0424 3.8181 7.3238
W 4.0007 5.0207 3.9753
W 0.4792 0.6013 1.6742
W 6.5640 8.2375 9.6249
W 1.0437 1.3099 10.5307
W 5.9994 7.5290 0.7684
W 2.4778 3.1096 4.8812
W 4.5653 5.7293 6.4180
Cl 1.1501 6.3091 0.0000
Cl 5.8930 2.5297 0.0000
Cl 0.2161 7.0533 5.6496
Cl 6.8270 1.7855 5.6496
Cl -0.2558 8.5347 8.9733
Cl 7.2989 0.3041 2.3259
Cl 1.6220 4.8277 3.3237
Cl 2.6995 6.1798 7.9754
Cl 5.4211 4.0111 7.9754
Cl 4.3437 2.6590 3.3237
Cl -1.3332 7.1826 2.3259
Cl 8.3764 1.6562 8.9733
Cl 2.4918 3.1270 9.6473
Cl 4.5514 5.7118 1.6518
Cl 1.0298 1.2924 3.9978
Cl 6.0133 7.5464 7.3014
Cl 4.2319 8.1053 10.4359
Cl 2.8113 0.7335 0.8632
Cl 6.3329 5.1529 4.7863
Cl 3.4343 1.5153 6.5128
Cl 0.7103 3.6859 6.5128
Cl 3.6089 7.3235 4.7863
Cl 0.0873 2.9041 0.8632
Cl 6.9558 5.9347 10.4359
```

Properties
Crystal system = orthorhombic
E above lowest polymorph = 0 meV per atom
Formation energy from raw total energies = -2.38 eV/f.u.

7.
Compound: Sr2NiSe3O9
Source: Alexandria via LeMat-Bulk
Functional: SCAN
Structure: PBEsol geometry

The structure in extended XYZ format:
```
30
Lattice="7.2246 0.0143 0.0012 -0.6893 7.4881 0.0163 -2.2971 -2.1552 8.0922" Properties=species:S:1:pos:R:3 pbc="T T T"
Sr 3.2654 -1.3022 7.2195
Sr 0.9729 6.6495 0.8902
Sr 4.3807 2.3921 5.6319
Sr -0.1424 2.9552 2.4778
Ni 3.4967 1.9511 2.0686
Ni 0.7416 3.3962 6.0411
Se 2.7212 4.9468 3.6632
Se 1.5171 0.4004 4.4466
Se 5.5116 -0.0575 2.4122
Se -1.2733 5.4047 5.6976
Se 4.5948 4.5947 0.7274
Se -0.3565 0.7526 7.3823
O 5.0925 1.3797 3.2803
O -0.8542 3.9675 4.8294
O -0.4206 0.5395 1.4633
O 4.6589 4.8077 6.6464
O 6.1625 5.0216 1.2511
O -1.9242 0.3256 6.8586
O 4.2372 0.0385 1.2366
O 0.0011 5.3087 6.8732
O 2.0292 4.7056 5.2134
O 2.2091 0.6416 2.8963
O 2.3734 2.9222 7.1635
O 1.8649 2.4250 0.9463
O 4.7888 2.8525 0.7402
O -0.5505 2.4948 7.3696
O 0.7549 1.9362 4.6870
O 3.4834 3.4110 3.4227
O 2.8458 0.4248 5.4972
O 1.3925 4.9225 2.6125
```

Properties
Crystal system = triclinic
Formation energy from raw total energies = -26.62 eV/f.u.

8.
Compound: AlCrRe
Source: Alexandria via LeMat-Bulk
Functional: SCAN
Structure: PBEsol geometry

The structure in extended XYZ format:
```
3
Lattice="2.9809 0.0000 0.0000 0.0000 2.9809 0.0000 -1.4905 -1.4905 4.4469" Properties=species:S:1:pos:R:3 pbc="T T T"
Re 0.0000 0.0000 2.8582
Al 0.0000 0.0000 0.0344
Cr 1.4904 1.4904 1.5542
```

Properties
Formation energy from the elements = -7.19 kcal/mol of atoms
Crystal system = tetragonal

9.
Compound: Mg3V6Cd2Cu3PbO24
Source: Alexandria via LeMat-Bulk
Functional: SCAN
Structure: PBEsol geometry

The structure in extended XYZ format:
```
39
Lattice="6.9611 -0.0153 0.0033 -2.4410 8.5199 -0.0010 -2.3482 -1.0022 8.4327" Properties=species:S:1:pos:R:3 pbc="T T T"
Mg -0.1531 0.1071 3.2288
Mg 3.2811 3.0759 0.4546
Mg 2.3390 7.4102 5.3405
V 2.4529 4.6699 7.4069
V 3.2395 0.6923 2.9454
V -0.2267 2.8433 1.0103
V -1.1077 6.7510 5.5359
V 2.7861 5.8133 2.3388
V -0.6469 1.7300 6.1233
Cd -0.6767 6.1359 2.1253
Cd 2.8385 1.5153 6.1937
Cu -0.6199 3.6547 4.2957
Cu 2.8134 3.9108 4.0842
Cu -1.1603 4.2763 7.8900
Pb 2.8060 8.3606 0.0208
O -0.8394 5.5095 0.0339
O 1.8647 -0.3494 3.0208
O 5.3285 2.7402 0.0226
O 0.2668 7.8001 5.7510
O 1.0795 4.0418 8.1805
O 4.6843 -0.1063 3.4482
O 1.1958 3.4125 0.1353
O -2.5455 7.5833 5.0735
O 2.3217 5.7859 4.0169
O 3.2379 4.1370 2.2225
O -0.2540 1.8035 4.4243
O -1.0001 3.4866 6.1613
O 2.1733 6.3270 7.0632
O 3.4370 1.2528 1.3707
O -0.0317 1.2528 1.5257
O -1.2497 6.0483 7.0812
O 4.0876 6.8920 2.0387
O 1.4879 6.2513 1.3022
O -2.0000 0.7265 6.3463
O 0.7341 1.2700 6.9950
O 2.7585 3.7548 5.9518
O 2.9548 2.0310 4.0057
O -0.4571 3.8245 2.4200
O -0.8062 5.5257 4.3439
```

Properties
Crystal system = triclinic
Formation energy from raw total energies = -86.66 eV/f.u.

10.
Compound: Ta3Au
Source: Alexandria via LeMat-Bulk
Functional: SCAN
Structure: PBEsol geometry

The structure in extended XYZ format:
```
8
Lattice="-3.3296 1.3949 3.7058 1.8012 -3.7783 3.0406 3.5262 3.2471 1.9460" Properties=species:S:1:pos:R:3 pbc="T T T"
Au 0.0000 0.0000 0.0000
Au 0.9989 0.4319 4.3462
Ta 0.9307 1.9723 1.8995
Ta -0.7341 2.6697 3.7523
Ta -1.2145 -0.2471 2.6130
Ta -0.3139 -2.1363 4.1333
Ta 1.7822 -1.0774 2.0068
Ta 3.5453 0.5462 2.9798
```

Properties
Formation energy from the elements = -3.72 kcal/mol of atoms
Crystal system = cubic
E above lowest polymorph = 0 meV per atom

11.
Compound: La3ZrTe
Source: Alexandria via LeMat-Bulk
Functional: SCAN
Structure: PBEsol geometry

The structure in extended XYZ format:
```
5
Lattice="5.8578 0.0000 0.0000 0.0000 5.8578 0.0000 0.0000 0.0000 5.8578" Properties=species:S:1:pos:R:3 pbc="T T T"
Te 0.0000 0.0000 0.0000
Zr 2.9289 2.9289 2.9289
La 0.0000 2.9289 0.0000
La 0.0000 0.0000 2.9289
La 2.9289 0.0000 0.0000
```

Properties
Crystal system = cubic
Formation energy from raw total energies = 0.44 eV/f.u.

12.
Compound: CaGa2SeO
Source: Alexandria via LeMat-Bulk
Functional: SCAN
Structure: PBEsol geometry

The structure in extended XYZ format:
```
5
Lattice="4.1306 0.0000 0.0000 0.0000 4.1306 0.0000 0.0000 0.0000 6.8025" Properties=species:S:1:pos:R:3 pbc="T T T"
O 0.0000 0.0000 0.0000
Ca 2.0653 2.0653 3.4013
Ga 0.0000 2.0653 0.0000
Ga 2.0653 0.0000 0.0000
Se 0.0000 0.0000 3.4013
```

Properties
Crystal system = tetragonal
Formation energy from raw total energies = -3.42 eV/f.u.